The following is a DFT calculation (PBE+U) of an optimized crystal structure of FeP3F.

abc: 4.400 4.400 4.400
angles: 90.00 90.00 90.00
Last column: magnetic moment on the atom in μB.
Fractional coordinates of all 5 atoms:
1 P 0.000 0.000 0.500  0.28
2 P 0.500 0.000 0.000  0.06
3 P 0.000 0.500 0.000  0.14
4 Fe 0.000 0.000 0.000  2.80
5 F 0.500 0.500 0.500  0.11

## Properties
Electronic total energy (eV per atom): -4.0926